i) TlInSn2 | SCAN | PBEsol geometry

Unit cell a=4.3976 b=4.3976 c=22.5991 alpha=90.00 beta=90.00 gamma=90.00
With the nearest neighbours (Å) after each atom.
Space group I-42d (No. 122)
Inequivalent atoms, fractional coordinates:
Tl 0.0000 0.0000 0.0000 (multiplicity 4)  4 In 3.11, 4 Sn 3.23
In 0.0000 0.0000 0.5000 (multiplicity 4)  4 Tl 3.11, 4 Sn 3.22
Sn 0.2482 0.2500 0.6250 (multiplicity 8)  4 Sn 3.10-3.12, 2 In 3.22, 2 Tl 3.23

Results
DOS at the Fermi energy = 6.87 states/eV/cell
Spin magnetization = 0.000 Bohr magnetons per cell

***

ii) TlInSn2 | SCAN | PBEsol geometry

Unit cell a=7.5018 b=7.5018 c=7.5018 alpha=90.00 beta=90.00 gamma=90.00
With the nearest neighbours (Å) after each atom.
Space group Fm-3m (No. 225)
Inequivalent atoms, fractional coordinates:
Tl 0.0000 0.0000 0.0000 (multiplicity 4)  8 Sn 3.25
In 0.0000 0.0000 0.5000 (multiplicity 4)  8 Sn 3.25
Sn 0.2500 0.2500 0.2500 (multiplicity 8)  4 Tl 3.25, 4 In 3.25

Results
DOS at the Fermi energy = 9.22 states/eV/cell
Spin magnetization = 0.000 Bohr magnetons per cell

***

Stability comparison, relative energies in meV/atom: i) 0; ii) 50

***

i) SrTaIn | SCAN | PBEsol geometry

Unit cell a=3.2189 b=3.2189 c=8.0232 alpha=90.00 beta=90.00 gamma=120.00
With the nearest neighbours (Å) after each atom.
Space group P3m1 (No. 156)
Inequivalent atoms, fractional coordinates:
Sr 0.0000 0.0000 0.0000 (multiplicity 1)  6 Sr 3.22, 3 Ta 3.31, 3 In 3.46
Ta 0.6667 0.3333 0.6586 (multiplicity 1)  3 In 3.01, 6 Ta 3.22, 3 Sr 3.31
In 0.3333 0.6667 0.3638 (multiplicity 1)  3 Ta 3.01, 6 In 3.22

Results
DOS at the Fermi energy = 1.76 states/eV/cell
Spin magnetization = 0.000 Bohr magnetons per cell

***

ii) SrTaIn | SCAN | PBEsol geometry

Unit cell a=3.0403 b=3.0403 c=15.2308 alpha=90.00 beta=90.00 gamma=90.00
With the nearest neighbours (Å) after each atom.
Space group I4mm (No. 107)
Inequivalent atoms, fractional coordinates:
Sr 0.0000 0.0000 0.0000 (multiplicity 2)  4 Sr 3.04
Ta 0.0000 0.0000 0.6806 (multiplicity 2)  4 Ta 3.04, 4 In 3.05
In 0.0000 0.0000 0.3222 (multiplicity 2)  4 In 3.04, 4 Ta 3.05

Results
DOS at the Fermi energy = 3.76 states/eV/cell
Spin magnetization = 0.000 Bohr magnetons per cell

***

iii) SrTaIn | SCAN | PBEsol geometry

Unit cell a=7.0120 b=7.0120 c=7.0120 alpha=90.00 beta=90.00 gamma=90.00
With the nearest neighbours (Å) after each atom.
Space group F-43m (No. 216)
Inequivalent atoms, fractional coordinates:
Sr 0.0000 0.0000 0.0000 (multiplicity 4)  4 Ta 3.04
Ta 0.2500 0.2500 0.7500 (multiplicity 4)  4 In 3.04, 4 Sr 3.04
In 0.0000 0.0000 0.5000 (multiplicity 4)  4 Ta 3.04

Results
DOS at the Fermi energy = 15.98 states/eV/cell
Spin magnetization = 8.331 Bohr magnetons per cell

***

Stability comparison, relative energies in meV/atom: i) 202; ii) 0; iii) 677